Entry i
Entry from the Alexandria database: a relaxed Li2PaSe4 crystal (PBE).

**D(E_F)**: 0.51 states/eV per atom
**ρ**: 5.26 g/cm3
**Magnetic moment**: 0.00 Bohr magnetons per cell
**Symmetry**: Imma

abc: 8.1185 8.1185 8.1185
angles: 129.71 115.83 85.71
Positions (direct):
Li  0.0000  0.0000  0.5000
Li  0.0000  0.5000  0.0000
Li  0.4081  0.1581  0.2500
Li  0.5919  0.8419  0.7500
Pa  0.0000  0.5000  0.5000
Pa  0.5000  0.5000  0.0000
Se  0.2307  0.7365  0.4942
Se  0.2419  0.2379  0.4961
Se  0.2419  0.7458  0.0039
Se  0.2578  0.2635  0.9942
Se  0.7422  0.7365  0.0058
Se  0.7581  0.2542  0.9961
Se  0.7581  0.7621  0.5039
Se  0.7693  0.2635  0.5058

Entry ii
Entry from the Alexandria database: a relaxed Li2PaSe4 crystal (PBE).

**D(E_F)**: 0.63 states/eV per atom
**ρ**: 6.19 g/cm3
**Magnetic moment**: 0.00 Bohr magnetons per cell
**Symmetry**: I-42d

abc: 7.3719 7.3719 7.3719
angles: 104.61 104.61 119.70
Positions (direct):
Li  0.0778  0.1250  0.4528
Li  0.3750  0.9222  0.0472
Li  0.6722  0.6250  0.5472
Li  0.8750  0.3278  0.9528
Pa  0.2500  0.7500  0.5000
Pa  0.5000  0.5000  0.0000
Se  0.0152  0.7873  0.1535
Se  0.1162  0.4627  0.7278
Se  0.1383  0.9848  0.7722
Se  0.2127  0.3662  0.2278
Se  0.5373  0.2652  0.6535
Se  0.6117  0.8838  0.3465
Se  0.6338  0.8617  0.8465
Se  0.7348  0.3883  0.2722

Which of them is the most stable, and which is the least stable? entry ii and entry i, in that order.

Entry i
Entry from the Alexandria database: a relaxed Li3PaSe4 crystal (PBE).

**ρ**: 5.31 g/cm3
**Magnetic moment**: 0.00 Bohr magnetons per cell
**Symmetry**: Cmmm

abc: 7.9183 10.8637 4.1251
angles: 90.00 90.00 90.00
Positions (direct):
Li  0.0000  0.0000  0.0000
Li  0.2500  0.2500  0.5000
Li  0.2500  0.7500  0.5000
Li  0.5000  0.5000  0.0000
Li  0.7500  0.2500  0.5000
Li  0.7500  0.7500  0.5000
Pa  0.0000  0.5000  0.0000
Pa  0.5000  0.0000  0.0000
Se  0.0000  0.2526  0.0000
Se  0.0000  0.7474  0.0000
Se  0.2464  0.5000  0.5000
Se  0.2536  0.0000  0.5000
Se  0.5000  0.2474  0.0000
Se  0.5000  0.7526  0.0000
Se  0.7464  0.0000  0.5000
Se  0.7536  0.5000  0.5000

Entry ii
Entry from the Alexandria database: a relaxed Li3PaSe4 crystal (PBE).

**ρ**: 5.28 g/cm3
**Magnetic moment**: 0.00 Bohr magnetons per cell
**Symmetry**: P2/c

abc: 6.8326 7.9788 6.9788
angles: 90.00 110.22 90.00
Positions (direct):
Li  0.0000  0.1081  0.2500
Li  0.0000  0.3598  0.7500
Li  0.0000  0.6402  0.2500
Li  0.0000  0.8919  0.7500
Li  0.5000  0.1168  0.7500
Li  0.5000  0.8832  0.2500
Pa  0.5000  0.3540  0.2500
Pa  0.5000  0.6460  0.7500
Se  0.2446  0.1236  0.0059
Se  0.2446  0.8764  0.5059
Se  0.2572  0.3853  0.4997
Se  0.2572  0.6147  0.9997
Se  0.7428  0.3853  0.0003
Se  0.7428  0.6147  0.5003
Se  0.7554  0.1236  0.4941
Se  0.7554  0.8764  0.9941

Which of them is the most stable, and which is the least stable? entry ii and entry i, in that order.

Entry i
Entry from the Alexandria database: a relaxed LiPa6Se12 crystal (PBE).

**D(E_F)**: 1.34 states/eV per atom
**ρ**: 6.97 g/cm3
**Magnetic moment**: 7.06 Bohr magnetons per cell
**Symmetry**: R-3

abc: 8.2299 8.2299 8.2299
angles: 90.45 90.45 90.45
Positions (direct):
Li  0.0000  0.0000  0.0000
Pa  0.0790  0.2503  0.5786
Pa  0.2503  0.5786  0.0790
Pa  0.4214  0.9210  0.7497
Pa  0.5786  0.0790  0.2503
Pa  0.7497  0.4214  0.9210
Pa  0.9210  0.7497  0.4214
Se  0.0787  0.9099  0.6891
Se  0.0901  0.3109  0.9213
Se  0.1917  0.5376  0.4132
Se  0.3109  0.9213  0.0901
Se  0.4132  0.1917  0.5376
Se  0.4624  0.5868  0.8083
Se  0.5376  0.4132  0.1917
Se  0.5868  0.8083  0.4624
Se  0.6891  0.0787  0.9099
Se  0.8083  0.4624  0.5868
Se  0.9099  0.6891  0.0787
Se  0.9213  0.0901  0.3109

Entry ii
Entry from the Alexandria database: a relaxed LiPa6Se12 crystal (PBE).

**D(E_F)**: 1.69 states/eV per atom
**ρ**: 7.45 g/cm3
**Magnetic moment**: 7.05 Bohr magnetons per cell
**Symmetry**: R-3

abc: 8.2116 8.2116 8.2116
angles: 100.55 100.55 100.55
Positions (direct):
Li  0.0000  0.0000  0.0000
Pa  0.1297  0.2944  0.6272
Pa  0.2944  0.6272  0.1297
Pa  0.3728  0.8703  0.7056
Pa  0.6272  0.1297  0.2944
Pa  0.7056  0.3728  0.8703
Pa  0.8703  0.7056  0.3728
Se  0.0452  0.9363  0.6838
Se  0.0637  0.3162  0.9548
Se  0.1766  0.5682  0.4270
Se  0.3162  0.9548  0.0637
Se  0.4270  0.1766  0.5682
Se  0.4318  0.5730  0.8234
Se  0.5682  0.4270  0.1766
Se  0.5730  0.8234  0.4318
Se  0.6838  0.0452  0.9363
Se  0.8234  0.4318  0.5730
Se  0.9363  0.6838  0.0452
Se  0.9548  0.0637  0.3162

Which of them is the most stable, and which is the least stable? entry ii and entry i, in that order.